Density functional theory data (PBE-GGA) for a geometry-optimized Np2Fe5SiB2 structure. Values from VASP.

Computed properties:
**Formation energy (no corrections)**: -0.254 eV/atom

```
&SYSTEM
  ibrav = 0, nat = 20, ntyp = 4
/
ATOMIC_SPECIES
Np 237.00 Np.upf
Fe 55.84 Fe.upf
Si 28.09 Si.upf
B 10.81 B.upf
CELL_PARAMETERS angstrom
8.934 0.000 0.000
0.000 8.934 0.000
0.000 0.000 2.969
ATOMIC_POSITIONS crystal
Np 0.177 0.323 0.000
Np 0.323 0.823 0.000
Np 0.677 0.177 0.000
Np 0.823 0.677 0.000
Fe 0.000 0.500 0.500
Fe 0.070 0.782 0.500
Fe 0.218 0.070 0.500
Fe 0.282 0.570 0.500
Fe 0.430 0.282 0.500
Fe 0.500 0.000 0.500
Fe 0.570 0.718 0.500
Fe 0.718 0.430 0.500
Fe 0.782 0.930 0.500
Fe 0.930 0.218 0.500
Si 0.000 0.000 0.000
Si 0.500 0.500 0.000
B 0.120 0.620 0.000
B 0.380 0.120 0.000
B 0.620 0.880 0.000
B 0.880 0.380 0.000
```

---

Density functional theory data (PBE-GGA) for a geometry-optimized NpFe2Si2B structure. Values from VASP.

Computed properties:
**Formation energy (no corrections)**: -0.399 eV/atom

```
&SYSTEM
  ibrav = 0, nat = 6, ntyp = 4
/
ATOMIC_SPECIES
Np 237.00 Np.upf
Fe 55.84 Fe.upf
Si 28.09 Si.upf
B 10.81 B.upf
CELL_PARAMETERS angstrom
3.871 0.000 0.000
0.000 3.871 0.000
0.000 0.000 5.233
ATOMIC_POSITIONS crystal
Np 0.000 0.000 0.000
Fe 0.000 0.500 0.500
Fe 0.500 0.000 0.500
Si 0.500 0.500 0.230
Si 0.500 0.500 0.770
B 0.000 0.000 0.500
```

---

Density functional theory data (PBE-GGA) for a geometry-optimized Np2Fe3TcB12 structure. Values from VASP.

Computed properties:
**Energy relative to the elements**: 0.1543 eV per atom

```
&SYSTEM
  ibrav = 0, nat = 18, ntyp = 4
/
ATOMIC_SPECIES
Np 237.00 Np.upf
Fe 55.84 Fe.upf
Tc 98.00 Tc.upf
B 10.81 B.upf
CELL_PARAMETERS angstrom
2.680 1.547 7.641
-2.680 1.547 7.641
0.000 -3.094 7.641
ATOMIC_POSITIONS crystal
Np 0.142 0.142 0.142
Np 0.858 0.858 0.858
Fe 0.000 0.500 0.500
Fe 0.500 0.000 0.500
Fe 0.500 0.500 0.000
Tc 0.500 0.500 0.500
B 0.154 0.154 0.480
B 0.154 0.480 0.154
B 0.174 0.548 0.548
B 0.452 0.452 0.826
B 0.452 0.826 0.452
B 0.480 0.154 0.154
B 0.520 0.846 0.846
B 0.548 0.174 0.548
B 0.548 0.548 0.174
B 0.826 0.452 0.452
B 0.846 0.520 0.846
B 0.846 0.846 0.520
```

---

| no. | DOS(E_F) (states/eV/f.u.) |
| --- | --- |
| 1 | 11.796 |
| 2 | 9.536 |
| 3 | 14.974 |